# 1
Entry from Alexandria: an optimized crystal structure of BiPdSe3 (PBE).

Output
The calculation puts the formation energy without anion corrections at 0.141 eV/atom. The value obtained for the final energy is -18.82 eV per cell. The calculation puts the calculated volume at 122.12 Å³/cell. The value obtained for the density of states at the Fermi level is 0.6966 states/eV per atom. The calculation puts the relative energy among the computed polymorphs at 282 meV per atom.

a = 4.961 Å, b = 4.961 Å, c = 4.961 Å
α = 90.00°, β = 90.00°, γ = 90.00°
Space group Pm-3m (No. 221)
Inequivalent atoms, fractional coordinates:
Bi: 0.000 0.000 0.000 (multiplicity 1)
Pd: 0.500 0.500 0.500 (multiplicity 1)
Se: 0.000 0.500 0.500 (multiplicity 3)

=====

# 2
Entry from Alexandria: an optimized crystal structure of Bi2Pd2Se (PBE).

Output
The calculation puts the formation energy without anion corrections at -0.057 eV/atom. The value obtained for the final energy is -43.83 eV per cell. The calculation puts the calculated volume at 229.29 Å³/cell. The value obtained for the density of states at the Fermi level is 0.4752 states/eV per atom. The calculation puts the relative energy among the computed polymorphs at 137 meV per atom.

a = 8.322 Å, b = 8.322 Å, c = 3.311 Å
α = 90.00°, β = 90.00°, γ = 90.00°
Space group P4/mbm (No. 127)
Inequivalent atoms, fractional coordinates:
Bi: 0.177 0.323 0.000 (multiplicity 4)
Pd: 0.117 0.617 0.500 (multiplicity 4)
Se: 0.000 0.000 0.000 (multiplicity 2)

=====

# 3
Entry from Alexandria: an optimized crystal structure of BiPd4Se8 (PBE).

Output
The calculation puts the formation energy without anion corrections at -0.203 eV/atom. The value obtained for the final energy is -220.67 eV per cell. The calculation puts the calculated volume at 1333.42 Å³/cell. The value obtained for the density of states at the Fermi level is 0.6041 states/eV per atom.

a = 11.007 Å, b = 11.007 Å, c = 11.007 Å
α = 90.00°, β = 90.00°, γ = 90.00°
Space group F-43m (No. 216)
Inequivalent atoms, fractional coordinates:
Bi: 0.000 0.000 0.000 (multiplicity 4)
Pd: 0.120 0.120 0.620 (multiplicity 16)
Se: 0.111 0.111 0.389 (multiplicity 16)
Se: 0.147 0.147 0.853 (multiplicity 16)

=====

# 4
Entry from Alexandria: an optimized crystal structure of Bi2Pd2Se (PBE).

Output
The calculation puts the formation energy without anion corrections at -0.194 eV/atom. The value obtained for the final energy is -45.20 eV per cell. The calculation puts the calculated volume at 222.56 Å³/cell. The value obtained for the density of states at the Fermi level is 0.2287 states/eV per atom. The calculation puts the relative energy among the computed polymorphs at 0 meV per atom.

a = 7.463 Å, b = 7.463 Å, c = 3.996 Å
α = 90.00°, β = 90.00°, γ = 90.00°
Space group P4/mbm (No. 127)
Inequivalent atoms, fractional coordinates:
Bi: 0.160 0.340 0.000 (multiplicity 4)
Pd: 0.136 0.636 0.500 (multiplicity 4)
Se: 0.000 0.000 0.500 (multiplicity 2)

=====

# 5
Entry from Alexandria: an optimized crystal structure of Bi2PdSe (PBE).

Output
The calculation puts the formation energy without anion corrections at -0.025 eV/atom. The value obtained for the final energy is -66.16 eV per cell. The calculation puts the calculated volume at 534.91 Å³/cell. The value obtained for the density of states at the Fermi level is 0.0535 states/eV per atom.

a = 6.391 Å, b = 6.391 Å, c = 13.098 Å
α = 90.00°, β = 90.00°, γ = 90.00°
Space group I-42d (No. 122)
Inequivalent atoms, fractional coordinates:
Bi: 0.215 0.250 0.125 (multiplicity 8)
Pd: 0.000 0.000 0.000 (multiplicity 4)
Se: 0.000 0.000 0.500 (multiplicity 4)

=====

# 6
Entry from Alexandria: an optimized crystal structure of Bi2Pd2Se (PBE).

Output
The calculation puts the formation energy without anion corrections at -0.144 eV/atom. The value obtained for the final energy is -44.71 eV per cell. The calculation puts the calculated volume at 235.89 Å³/cell. The value obtained for the density of states at the Fermi level is 0.6091 states/eV per atom. The calculation puts the relative energy among the computed polymorphs at 49 meV per atom.

a = 3.912 Å, b = 3.912 Å, c = 15.414 Å
α = 90.00°, β = 90.00°, γ = 90.00°
Space group I4/mmm (No. 139)
Inequivalent atoms, fractional coordinates:
Bi: 0.000 0.000 0.117 (multiplicity 4)
Pd: 0.000 0.500 0.250 (multiplicity 4)
Se: 0.000 0.000 0.500 (multiplicity 2)

=====

# 7
Entry from Alexandria: an optimized crystal structure of Bi2PdSe (PBE).

Output
The calculation puts the formation energy without anion corrections at -0.168 eV/atom. The value obtained for the final energy is -51.34 eV per cell. The calculation puts the calculated volume at 308.76 Å³/cell. The value obtained for the density of states at the Fermi level is 0.2930 states/eV per atom.

a = 3.9116 Å, b = 3.9116 Å, c = 23.3017 Å
α = 90.00°, β = 90.00°, γ = 120.00°
Space group R3m (No. 160, hexagonal axes)
Inequivalent atoms, fractional coordinates:
Bi: 0.0000 0.0000 0.0000 (multiplicity 3)
Bi: 0.0000 0.0000 0.1833 (multiplicity 3)
Pd: 0.0000 0.0000 0.5914 (multiplicity 3)
Se: 0.0000 0.0000 0.4229 (multiplicity 3)

=====

# 8
Entry from Alexandria: an optimized crystal structure of Bi4Pd8Se (PBE).

Output
The calculation puts the formation energy without anion corrections at -0.220 eV/atom. The value obtained for the final energy is -63.41 eV per cell. The calculation puts the calculated volume at 257.93 Å³/cell. The value obtained for the density of states at the Fermi level is 0.6449 states/eV per atom.

a = 3.996 Å, b = 4.263 Å, c = 15.143 Å
α = 90.00°, β = 90.00°, γ = 90.00°
Space group Pmm2 (No. 25)
Inequivalent atoms, fractional coordinates:
Bi: 0.000 0.000 0.000 (multiplicity 1)
Bi: 0.000 0.500 0.184 (multiplicity 1)
Bi: 0.500 0.000 0.442 (multiplicity 1)
Bi: 0.500 0.500 0.629 (multiplicity 1)
Pd: 0.000 0.000 0.307 (multiplicity 1)
Pd: 0.000 0.000 0.597 (multiplicity 1)
Pd: 0.000 0.500 0.469 (multiplicity 1)
Pd: 0.000 0.500 0.864 (multiplicity 1)
Pd: 0.500 0.000 0.159 (multiplicity 1)
Pd: 0.500 0.000 0.865 (multiplicity 1)
Pd: 0.500 0.500 0.016 (multiplicity 1)
Pd: 0.500 0.500 0.317 (multiplicity 1)
Se: 0.000 0.000 0.763 (multiplicity 1)

=====

# 9
Entry from Alexandria: an optimized crystal structure of BiPdSe3 (PBE).

Output
The calculation puts the formation energy without anion corrections at -0.141 eV/atom. The value obtained for the final energy is -80.93 eV per cell. The calculation puts the calculated volume at 565.38 Å³/cell. The value obtained for the density of states at the Fermi level is 0.5043 states/eV per atom. The calculation puts the relative energy among the computed polymorphs at 0 meV per atom.

a = 17.147 Å, b = 4.075 Å, c = 8.874 Å
α = 90.00°, β = 114.24°, γ = 90.00°
Space group C2/m (No. 12)
Inequivalent atoms, fractional coordinates:
Bi: 0.114 0.000 0.329 (multiplicity 4)
Pd: 0.169 0.500 0.843 (multiplicity 4)
Se: 0.012 0.500 0.684 (multiplicity 4)
Se: 0.170 0.000 0.013 (multiplicity 4)
Se: 0.193 0.500 0.586 (multiplicity 4)

=====

# 10
Entry from Alexandria: an optimized crystal structure of Bi2PdSe (PBE).

Output
The calculation puts the formation energy without anion corrections at -0.201 eV/atom. The value obtained for the final energy is -51.73 eV per cell. The calculation puts the calculated volume at 308.52 Å³/cell. The value obtained for the density of states at the Fermi level is 0.4239 states/eV per atom.

a = 4.0094 Å, b = 4.0094 Å, c = 22.1617 Å
α = 90.00°, β = 90.00°, γ = 120.00°
Space group R-3m (No. 166, hexagonal axes)
Inequivalent atoms, fractional coordinates:
Bi: 0.0000 0.0000 0.2417 (multiplicity 6)
Pd: 0.0000 0.0000 0.5000 (multiplicity 3)
Se: 0.0000 0.0000 0.0000 (multiplicity 3)

=====

# 11
Entry from Alexandria: an optimized crystal structure of ZrBiPd2Se (PBE).

Output
The calculation puts the formation energy without anion corrections at 0.695 eV/atom. The value obtained for the final energy is -22.82 eV per cell. The calculation puts the calculated volume at 140.48 Å³/cell. The value obtained for the density of states at the Fermi level is 1.0010 states/eV per atom.

a = 4.920 Å, b = 4.920 Å, c = 5.803 Å
α = 90.00°, β = 90.00°, γ = 90.00°
Space group P4/mmm (No. 123)
Inequivalent atoms, fractional coordinates:
Zr: 0.000 0.000 0.000 (multiplicity 1)
Bi: 0.000 0.000 0.500 (multiplicity 1)
Pd: 0.000 0.500 0.000 (multiplicity 2)
Se: 0.500 0.500 0.500 (multiplicity 1)

=====

# 12
Entry from Alexandria: an optimized crystal structure of Si2BiPd (PBE).

Output
The calculation puts the formation energy without anion corrections at 0.089 eV/atom. The value obtained for the final energy is -78.26 eV per cell. The calculation puts the calculated volume at 343.06 Å³/cell. The value obtained for the density of states at the Fermi level is 0.3247 states/eV per atom.

a = 4.517 Å, b = 4.517 Å, c = 16.816 Å
α = 90.00°, β = 90.00°, γ = 90.00°
Space group I-42d (No. 122)
Inequivalent atoms, fractional coordinates:
Si: 0.121 0.250 0.125 (multiplicity 8)
Bi: 0.000 0.000 0.500 (multiplicity 4)
Pd: 0.000 0.000 0.000 (multiplicity 4)